# RbYCrO4 | the Alexandria database | PBE+U | relaxed
# Space-group type: P2_1/m (11)
# Energy in eV per atom: -7.2330
# Total magnetization in μB per atom: 0.2857
data_RbYCrO4
_chemical_formula_sum 'Rb2 Y2 Cr2 O8'
_space_group_name_H-M_alt 'P 1'
_space_group_IT_number 1
_space_group_name_Hall 'P 1'
_cell_length_a 5.8553
_cell_length_b 5.9244
_cell_length_c 7.7162
_cell_angle_alpha 90.00
_cell_angle_beta 108.39
_cell_angle_gamma 90.00
loop_
_atom_site_label
_atom_site_fract_x
_atom_site_fract_y
_atom_site_fract_z
Rb1 0.1996 0.2500 0.4337
Rb2 0.8004 0.7500 0.5663
Y1 0.3073 0.2500 0.9602
Y2 0.6927 0.7500 0.0398
Cr1 0.2347 0.7500 0.1583
Cr2 0.7653 0.2500 0.8417
O1 0.0272 0.7500 0.9366
O2 0.0421 0.7500 0.2957
O3 0.4566 0.5243 0.1708
O4 0.4566 0.9757 0.1708
O5 0.5434 0.0243 0.8292
O6 0.5434 0.4757 0.8292
O7 0.9579 0.2500 0.7043
O8 0.9728 0.2500 0.0634